Entry 1:
# TcHgCl2

TcHgCl2 after structural relaxation (PBE, the Alexandria database).

Computed properties:
The mass density comes out at 6.8 Mg/m³. For the formation energy from raw total energies, the calculation gives 135.0 meV per atom. The energy above the most stable polymorph in this dataset comes out at 281 meV/atom.

Lattice parameters (Å, degrees): 3.3764 3.3764 9.4009 90.00 90.00 122.72
Last column: nearest neighbours and their distance in Å.
Atoms (fractional coordinates):
Cl  0.0000  0.0000  0.9374  2 Tc 2.38
Cl  0.5000  0.5000  0.2988  2 Hg 2.57
Hg  0.0000  0.0000  0.5112  2 Cl 2.57, 2 Tc 2.79
Tc  0.5000  0.5000  0.7525  2 Cl 2.38

***

Entry 2:
# TbDyAlFe

TbDyAlFe after structural relaxation (PBE, the Alexandria database).

Computed properties:
The mass density comes out at 7.6 Mg/m³. The value obtained for the energy of formation from the pure elements is -62.7 meV/atom.

Lattice parameters (Å, degrees): 4.9882 4.9882 4.9882 60.00 60.00 60.00
Last column: nearest neighbours and their distance in Å.
Atoms (fractional coordinates):
Al  0.2500  0.2500  0.2500  4 Dy 3.05, 4 Tb 3.05
Tb  0.0000  0.0000  0.0000  4 Al 3.05, 4 Fe 3.05
Fe  0.7500  0.7500  0.7500  4 Tb 3.05, 4 Dy 3.05
Dy  0.5000  0.5000  0.5000  4 Fe 3.05, 4 Al 3.05

***

Entry 3:
# Sb

Sb after structural relaxation (PBE, the Alexandria database).

Computed properties:
The mass density comes out at 6.4 Mg/m³. For the formation energy from raw total energies, the calculation gives 0.0 meV per atom. The energy above the most stable polymorph in this dataset comes out at 0 meV/atom.

Lattice parameters (Å, degrees): 4.5838 4.5838 4.5838 57.14 57.14 57.14
Last column: nearest neighbours and their distance in Å.
Atoms (fractional coordinates):
Sb  0.2330  0.2330  0.2330  3 Sb 2.95
Sb  0.7670  0.7670  0.7670  3 Sb 2.95